First-principles (GGA-PBE) data for ScTa3Cl after structural relaxation, as listed in the Alexandria database.

Cell: 4.873 4.873 4.873 Å, 90.00 90.00 90.00°
Sites, in units of the cell vectors:
Ta  0.000  0.500  0.000
Ta  0.000  0.000  0.500
Ta  0.500  0.000  0.000
Cl  0.500  0.500  0.500
Sc  0.000  0.000  0.000

* total moment: 0.00 μB/f.u.
* ΔE_f (raw): 2.1301 eV/atom

***

First-principles (GGA-PBE) data for KOsRh2 after structural relaxation, as listed in the Alexandria database.

Cell: 5.987 5.987 5.987 Å, 153.89 126.16 60.80°
Sites, in units of the cell vectors:
K  0.750  0.250  0.500
Rh  0.459  0.459  0.000
Rh  0.041  0.041  0.000
Os  0.250  0.750  0.500

* energy of formation: 0.93 eV/atom
* total moment: 0.00 μB/f.u.

***

First-principles (GGA-PBE) data for CaBO3 after structural relaxation, as listed in the Alexandria database.

Cell: 3.440 3.440 3.440 Å, 90.00 90.00 90.00°
Sites, in units of the cell vectors:
O  0.000  0.500  0.000
O  0.500  0.000  0.000
O  0.000  0.000  0.500
Ca  0.500  0.500  0.500
B  0.000  0.000  0.000

* total moment: 0.00 μB/f.u.
* ΔE_f (raw): -1.5949 eV/atom

***

First-principles (GGA-PBE) data for BaAcCd3 after structural relaxation, as listed in the Alexandria database.

Cell: 4.133 5.203 15.835 Å, 90.00 97.50 90.00°
Sites, in units of the cell vectors:
Cd  0.621  0.750  0.243
Cd  0.675  0.250  0.350
Cd  0.476  0.250  0.951
Cd  0.325  0.750  0.650
Cd  0.524  0.750  0.049
Cd  0.379  0.250  0.757
Ac  0.789  0.250  0.578
Ac  0.211  0.750  0.422
Ba  0.926  0.750  0.852
Ba  0.074  0.250  0.148

* energy of formation: -0.29 eV/atom
* total moment: 0.00 μB/f.u.

***

First-principles (GGA-PBE) data for Mg3MnAl after structural relaxation, as listed in the Alexandria database.

Cell: 5.072 5.072 5.072 Å, 90.00 90.00 90.00°
Each line ends with the local moment (μB).
Sites, in units of the cell vectors:
Al  0.500  0.500  0.500  -0.01
Mg  0.500  0.000  0.000  -0.01
Mg  0.000  0.500  0.000  -0.01
Mg  0.000  0.000  0.500  -0.02
Mn  0.000  0.000  0.000  3.31

* energy of formation: 0.76 eV/atom
* total moment: 3.29 μB/f.u.

***

First-principles (GGA-PBE) data for Tl3GaIr after structural relaxation, as listed in the Alexandria database.

Cell: 5.255 5.255 5.255 Å, 90.00 90.00 90.00°
Each line ends with the local moment (μB).
Sites, in units of the cell vectors:
Ir  0.500  0.500  0.500  0.74
Ga  0.000  0.000  0.000  0.00
Tl  0.000  0.500  0.000  -0.02
Tl  0.000  0.000  0.500  -0.01
Tl  0.500  0.000  0.000  -0.01

* energy of formation: 1.10 eV/atom
* total moment: 0.63 μB/f.u.